Here is an optimized crystal structure of DyNi3C3 from OQMD. Energies are from GGA-PBE.

abc: 3.386 3.386 15.751
angles: 90.00 90.00 120.00
Element x y z (fractional)
Ni1 0.667 0.333 0.864
Ni2 0.667 0.333 0.250
Ni3 0.333 0.667 0.136
Ni4 0.333 0.667 0.364
Ni5 0.667 0.333 0.636
Ni6 0.333 0.667 0.750
Dy1 0.000 0.000 0.500
Dy2 0.000 0.000 0.000
C1 0.333 0.667 0.895
C2 0.667 0.333 0.105
C3 0.667 0.333 0.750
C4 0.333 0.667 0.250
C5 0.333 0.667 0.605
C6 0.667 0.333 0.395

## Properties
Calculated density, Mg/m³: 8.0
Total DFT energy (no corrections), eV/atom: -6.714